Record 1
Below is LaTiIn3 at its PBEsol-relaxed geometry, with properties calculated at the meta-GGA SCAN level.

Values from the calculation:
V: 137.4 Å³/f.u.
final energy: -1.1790 hartree per atom
E_form: -0.22 eV per atom

Cell and atoms, written as CIF:
```
data_LaTiIn3
_chemical_formula_sum 'La1 Ti1 In3'
_symmetry_space_group_name_H-M 'P m -3 m'
_symmetry_Int_Tables_number 221
_symmetry_space_group_name_Hall '-P 4 2 3'
_cell_length_a 5.1600
_cell_length_b 5.1600
_cell_length_c 5.1600
_cell_angle_alpha 90.00
_cell_angle_beta 90.00
_cell_angle_gamma 90.00
loop_
_atom_site_label
_atom_site_type_symbol
_atom_site_fract_x
_atom_site_fract_y
_atom_site_fract_z
La1 La 0.0000 0.0000 0.0000
Ti1 Ti 0.5000 0.5000 0.5000
In1 In 0.0000 0.5000 0.5000
```

***

Record 2
Below is Ba2Hg3Pd7O14 at its PBEsol-relaxed geometry, with properties calculated at the meta-GGA SCAN level.

Values from the calculation:
V: 360.8 Å³/f.u.
formation energy (no corrections): -1008.2 meV per atom
final energy: -0.8855 hartree per atom

Cell and atoms, written as CIF:
```
data_Ba2Hg3Pd7O14
_chemical_formula_sum 'Ba4 Hg6 Pd14 O28'
_symmetry_space_group_name_H-M 'C 1 2/m 1'
_symmetry_Int_Tables_number 12
_cell_length_a 10.5510
_cell_length_b 6.2625
_cell_length_c 10.9213
_cell_angle_alpha 90.00
_cell_angle_beta 90.55
_cell_angle_gamma 90.00
loop_
_symmetry_equiv_pos_as_xyz
'x,y,z'
'-x,-y,-z'
'-x,y,-z'
'x,-y,z'
'x+1/2,y+1/2,z'
'-x+1/2,-y+1/2,-z'
'-x+1/2,y+1/2,-z'
'x+1/2,-y+1/2,z'
loop_
_atom_site_label
_atom_site_type_symbol
_atom_site_fract_x
_atom_site_fract_y
_atom_site_fract_z
Ba1 Ba 0.0078 0.0000 0.2934
Hg1 Hg 0.0000 0.5000 0.5000
Hg2 Hg 0.1763 0.5000 0.1948
Pd1 Pd 0.0000 0.5000 0.0000
Pd2 Pd 0.1695 0.5000 0.7783
Pd3 Pd 0.2500 0.2500 0.0000
Pd4 Pd 0.2500 0.2500 0.5000
O1 O 0.0080 0.5000 0.6868
O2 O 0.0925 0.2854 0.8960
O3 O 0.1379 0.0000 0.5107
O4 O 0.1865 0.0000 0.0983
O5 O 0.2441 0.2261 0.3167
```

***

Record 3
Below is LiCrIr2 at its PBEsol-relaxed geometry, with properties calculated at the meta-GGA SCAN level.

Values from the calculation:
V: 52.7 Å³/f.u.
final energy: -1.5051 hartree per atom
E_form: -0.21 eV per atom

Cell and atoms, written as CIF:
```
data_LiCrIr2
_chemical_formula_sum 'Li3 Cr3 Ir6'
_symmetry_space_group_name_H-M 'R -3 m'
_symmetry_Int_Tables_number 166
_symmetry_space_group_name_Hall '-R 3 2"'
_cell_length_a 2.6610
_cell_length_b 2.6610
_cell_length_c 25.8014
_cell_angle_alpha 90.00
_cell_angle_beta 90.00
_cell_angle_gamma 120.00
loop_
_atom_site_label
_atom_site_type_symbol
_atom_site_fract_x
_atom_site_fract_y
_atom_site_fract_z
Li1 Li 0.0000 0.0000 0.0000
Cr1 Cr 0.0000 0.0000 0.5000
Ir1 Ir 0.0000 0.0000 0.2455
```

***

Record 4
Below is Si3Cl5 at its PBEsol-relaxed geometry, with properties calculated at the meta-GGA SCAN level.

Values from the calculation:
V: 162.1 Å³/f.u.
formation energy (no corrections): 37.3 meV per atom
final energy: -0.3199 hartree per atom

Cell and atoms, written as CIF:
```
data_Si3Cl5
_chemical_formula_sum 'Si6 Cl10'
_symmetry_space_group_name_H-M 'C m m m'
_symmetry_Int_Tables_number 65
_symmetry_space_group_name_Hall '-C 2 2'
_cell_length_a 8.0046
_cell_length_b 10.8072
_cell_length_c 3.7473
_cell_angle_alpha 90.00
_cell_angle_beta 90.00
_cell_angle_gamma 90.00
loop_
_atom_site_label
_atom_site_type_symbol
_atom_site_fract_x
_atom_site_fract_y
_atom_site_fract_z
Si1 Si 0.0000 0.0000 0.0000
Si2 Si 0.0000 0.3263 0.5000
Cl1 Cl 0.0000 0.5000 0.0000
Cl2 Cl 0.2078 0.0000 0.5000
Cl3 Cl 0.2500 0.2500 0.0000
```

***

Record 5
Below is FeAsOs2Br at its PBEsol-relaxed geometry, with properties calculated at the meta-GGA SCAN level.

Values from the calculation:
V: 87.8 Å³/f.u.
formation energy (no corrections): 1854.3 meV per atom
final energy: -1.4131 hartree per atom

Cell and atoms, written as CIF:
```
data_FeAsOs2Br
_chemical_formula_sum 'Fe1 As1 Os2 Br1'
_symmetry_space_group_name_H-M 'P 4/m m m'
_symmetry_Int_Tables_number 123
_symmetry_space_group_name_Hall '-P 4 2'
_cell_length_a 4.5380
_cell_length_b 4.5380
_cell_length_c 4.2645
_cell_angle_alpha 90.00
_cell_angle_beta 90.00
_cell_angle_gamma 90.00
loop_
_atom_site_label
_atom_site_type_symbol
_atom_site_fract_x
_atom_site_fract_y
_atom_site_fract_z
Fe1 Fe 0.0000 0.0000 0.0000
As1 As 0.0000 0.0000 0.5000
Os1 Os 0.0000 0.5000 0.0000
Br1 Br 0.5000 0.5000 0.5000
```

***

Record 6
Below is Ba2SbIr at its PBEsol-relaxed geometry, with properties calculated at the meta-GGA SCAN level.

Values from the calculation:
V: 131.7 Å³/f.u.
formation energy (no corrections): -594.5 meV per atom
final energy: -1.7441 hartree per atom

Cell and atoms, written as CIF:
```
data_Ba2SbIr
_chemical_formula_sum 'Ba4 Sb2 Ir2'
_symmetry_space_group_name_H-M 'A m m 2'
_symmetry_Int_Tables_number 38
_cell_length_a 4.7627
_cell_length_b 4.9692
_cell_length_c 11.1267
_cell_angle_alpha 90.00
_cell_angle_beta 90.00
_cell_angle_gamma 90.00
loop_
_symmetry_equiv_pos_as_xyz
'x,y,z'
'-x,-y,z'
'-x,y,z'
'x,-y,z'
'x,y+1/2,z+1/2'
'-x,-y+1/2,z+1/2'
'-x,y+1/2,z+1/2'
'x,-y+1/2,z+1/2'
loop_
_atom_site_label
_atom_site_type_symbol
_atom_site_fract_x
_atom_site_fract_y
_atom_site_fract_z
Ba1 Ba 0.0000 0.0000 0.0000
Ba2 Ba 0.5000 0.0000 0.2930
Sb1 Sb 0.5000 0.0000 0.5993
Ir1 Ir 0.0000 0.0000 0.6974
```

***

Record 7
Below is CaPRh at its PBEsol-relaxed geometry, with properties calculated at the meta-GGA SCAN level.

Values from the calculation:
V: 51.9 Å³/f.u.
final energy: -0.6864 hartree per atom
E_form: -0.73 eV per atom

Cell and atoms, written as CIF:
```
data_CaPRh
_chemical_formula_sum 'Ca2 P2 Rh2'
_symmetry_space_group_name_H-M 'I 4 m m'
_symmetry_Int_Tables_number 107
_symmetry_space_group_name_Hall 'I 4 -2'
_cell_length_a 3.1763
_cell_length_b 3.1763
_cell_length_c 10.2890
_cell_angle_alpha 90.00
_cell_angle_beta 90.00
_cell_angle_gamma 90.00
loop_
_atom_site_label
_atom_site_type_symbol
_atom_site_fract_x
_atom_site_fract_y
_atom_site_fract_z
Ca1 Ca 0.0000 0.0000 0.0000
P1 P 0.0000 0.0000 0.3004
Rh1 Rh 0.0000 0.0000 0.7129
```

***

Record 8
Below is Re2PtCl at its PBEsol-relaxed geometry, with properties calculated at the meta-GGA SCAN level.

Values from the calculation:
excess energy over the best structure of this formula in the dataset: 2.57 eV/f.u.
V: 60.5 Å³/f.u.
formation energy (no corrections): 1169.7 meV per atom
final energy: -1.9816 hartree per atom

Cell and atoms, written as CIF:
```
data_Re2PtCl
_chemical_formula_sum 'Re4 Pt2 Cl2'
_symmetry_space_group_name_H-M 'C 1 2/m 1'
_symmetry_Int_Tables_number 12
_cell_length_a 5.2541
_cell_length_b 9.1384
_cell_length_c 2.7140
_cell_angle_alpha 90.00
_cell_angle_beta 111.67
_cell_angle_gamma 90.00
loop_
_symmetry_equiv_pos_as_xyz
'x,y,z'
'-x,-y,-z'
'-x,y,-z'
'x,-y,z'
'x+1/2,y+1/2,z'
'-x+1/2,-y+1/2,-z'
'-x+1/2,y+1/2,-z'
'x+1/2,-y+1/2,z'
loop_
_atom_site_label
_atom_site_type_symbol
_atom_site_fract_x
_atom_site_fract_y
_atom_site_fract_z
Re1 Re 0.2500 0.2500 0.0000
Pt1 Pt 0.0000 0.0000 0.5000
Cl1 Cl 0.0000 0.5000 0.5000
```

***

Record 9
Below is TcMoPd2O at its PBEsol-relaxed geometry, with properties calculated at the meta-GGA SCAN level.

Values from the calculation:
V: 68.2 Å³/f.u.
formation energy (no corrections): 349.8 meV per atom
final energy: -1.0288 hartree per atom

Cell and atoms, written as CIF:
```
data_TcMoPd2O
_chemical_formula_sum 'Tc1 Mo1 Pd2 O1'
_symmetry_space_group_name_H-M 'P 4/m m m'
_symmetry_Int_Tables_number 123
_symmetry_space_group_name_Hall '-P 4 2'
_cell_length_a 4.2004
_cell_length_b 4.2004
_cell_length_c 3.8660
_cell_angle_alpha 90.00
_cell_angle_beta 90.00
_cell_angle_gamma 90.00
loop_
_atom_site_label
_atom_site_type_symbol
_atom_site_fract_x
_atom_site_fract_y
_atom_site_fract_z
Tc1 Tc 0.0000 0.0000 0.0000
Mo1 Mo 0.5000 0.5000 0.0000
Pd1 Pd 0.0000 0.5000 0.5000
O1 O 0.0000 0.0000 0.5000
```

***

Record 10
Below is LiAlRu at its PBEsol-relaxed geometry, with properties calculated at the meta-GGA SCAN level.

Values from the calculation:
V: 38.9 Å³/f.u.
final energy: -0.5613 hartree per atom
E_form: -0.28 eV per atom

Cell and atoms, written as CIF:
```
data_LiAlRu
_chemical_formula_sum 'Li2 Al2 Ru2'
_symmetry_space_group_name_H-M 'I 4 m m'
_symmetry_Int_Tables_number 107
_symmetry_space_group_name_Hall 'I 4 -2'
_cell_length_a 3.1315
_cell_length_b 3.1315
_cell_length_c 7.9325
_cell_angle_alpha 90.00
_cell_angle_beta 90.00
_cell_angle_gamma 90.00
loop_
_atom_site_label
_atom_site_type_symbol
_atom_site_fract_x
_atom_site_fract_y
_atom_site_fract_z
Li1 Li 0.0000 0.0000 0.0000
Al1 Al 0.0000 0.0000 0.3201
Ru1 Ru 0.0000 0.0000 0.6652
```

***

Record 11
Below is Ga2SbAsPd at its PBEsol-relaxed geometry, with properties calculated at the meta-GGA SCAN level.

Values from the calculation:
V: 114.4 Å³/f.u.
formation energy (no corrections): 133.1 meV per atom
final energy: -0.8985 hartree per atom

Cell and atoms, written as CIF:
```
data_Ga2SbAsPd
_chemical_formula_sum 'Ga2 Sb1 As1 Pd1'
_symmetry_space_group_name_H-M 'P 4/m m m'
_symmetry_Int_Tables_number 123
_symmetry_space_group_name_Hall '-P 4 2'
_cell_length_a 4.6676
_cell_length_b 4.6676
_cell_length_c 5.2531
_cell_angle_alpha 90.00
_cell_angle_beta 90.00
_cell_angle_gamma 90.00
loop_
_atom_site_label
_atom_site_type_symbol
_atom_site_fract_x
_atom_site_fract_y
_atom_site_fract_z
Ga1 Ga 0.0000 0.5000 0.0000
Sb1 Sb 0.0000 0.0000 0.5000
As1 As 0.5000 0.5000 0.5000
Pd1 Pd 0.0000 0.0000 0.0000
```

***

Record 12
Below is KCdPt2 at its PBEsol-relaxed geometry, with properties calculated at the meta-GGA SCAN level.

Values from the calculation:
excess energy over the best structure of this formula in the dataset: 0.28 eV/f.u.
V: 84.9 Å³/f.u.
final energy: -1.6448 hartree per atom
E_form: 0.03 eV per atom

Cell and atoms, written as CIF:
```
data_KCdPt2
_chemical_formula_sum 'K1 Cd1 Pt2'
_symmetry_space_group_name_H-M 'P 1 m 1'
_symmetry_Int_Tables_number 6
_cell_length_a 2.8669
_cell_length_b 4.4482
_cell_length_c 6.8084
_cell_angle_alpha 90.00
_cell_angle_beta 101.95
_cell_angle_gamma 90.00
loop_
_symmetry_equiv_pos_as_xyz
'x,y,z'
'x,-y,z'
loop_
_atom_site_label
_atom_site_type_symbol
_atom_site_fract_x
_atom_site_fract_y
_atom_site_fract_z
K1 K 0.0000 0.0000 0.0000
Cd1 Cd 0.3123 0.5000 0.6331
Pt1 Pt 0.6346 0.5000 0.2718
Pt2 Pt 0.7416 0.0000 0.4898
```

***

Question: Look up the V of the seventh one.
Answer: 51.9 Å³/f.u.

***

Question: What is the final energy in the fifth record?
Answer: -1.4131 hartree per atom

***

Question: Look up the final energy of the eighth one.
Answer: -1.9816 hartree per atom

***

Question: Which of these has the highest final energy?
Answer: Si3Cl5